A plane-wave DFT calculation with GGA-PBE was carried out for a geometry-optimized LiInPbO3 structure.

POSCAR file:
```
LiInPbO3
1.0
-2.047 -2.663 -0.645
4.046 -1.757 -5.590
2.904 -3.561 5.482
O Li Pb In
6 2 2 2
Direct
0.250 0.813 0.464 O
0.750 0.447 0.151 O
0.750 0.187 0.536 O
0.750 0.866 0.126 O
0.250 0.553 0.849 O
0.250 0.134 0.874 O
0.750 0.915 0.407 Li
0.250 0.085 0.593 Li
0.250 0.195 0.226 Pb
0.750 0.805 0.774 Pb
0.750 0.334 0.833 In
0.250 0.666 0.167 In
```

## Properties
raw formation energy = -1395 meV/atom
DOS(E_F) = 0.00 states/eV/f.u.
calculated total energy = -5.27 eV/atom